A plane-wave DFT calculation with GGA-PBE was carried out for crystalline CoHgC4Se4N4 at its relaxed geometry.

## Properties
Its density is 3.3 g cm⁻³. The value obtained for the total energy is -87.2 eV per cell. As for the space group: I-4, No. 82. The calculation puts the volume at 344.8 Å³ per cell. As for the total magnetic moment: 3.0 μB per cell.

Unit cell a=8.4756 b=8.4756 c=8.4756 alpha=95.66 beta=95.66 gamma=143.38
Closest atoms and distances in Å follow each position.
Positions (direct):
C 0.1968 0.9676 0.3473  1 N 1.18
Hg 0.0000 0.0000 0.0000  4 Se 2.74
C 0.1505 0.8032 0.7708  1 N 1.18
C 0.0324 0.3797 0.2292  1 N 1.18
N 0.9959 0.5920 0.6673  1 C 1.18
N 0.4080 0.0753 0.4039  1 C 1.18
Se 0.5336 0.6033 0.7318  1 C 1.80
N 0.6715 0.0041 0.5961  1 C 1.18
Se 0.3967 0.1285 0.9303  1 C 1.80
C 0.6203 0.8495 0.6527  1 N 1.18
Se 0.1982 0.4664 0.0697  1 C 1.80
Se 0.8715 0.8018 0.2682  1 C 1.80
N 0.9247 0.3285 0.3327  1 C 1.18
Co 0.7500 0.2500 0.5000  4 N 1.91

=====

A plane-wave DFT calculation with GGA-PBE was carried out for crystalline AcErThHg at its relaxed geometry.

## Properties
Its density is 11.1 g cm⁻³. The value obtained for the total energy is -15.9 eV per cell. As for the space group: F-43m, No. 216. The formation energy is 0.128 eV/atom. For the density of states at the Fermi level, the calculation gives 1.475 states/eV per atom. The calculation puts the volume at 123.5 Å³ per cell. As for the total magnetic moment: 0.0 μB per cell.

Unit cell a=5.5896 b=5.5896 c=5.5896 alpha=60.00 beta=60.00 gamma=60.00
Closest atoms and distances in Å follow each position.
Positions (direct):
Ac 0.7500 0.7500 0.7500  4 Th 3.42, 4 Er 3.42
Th 0.5000 0.5000 0.5000  4 Ac 3.42, 4 Hg 3.42
Er 0.0000 0.0000 0.0000  4 Hg 3.42, 4 Ac 3.42
Hg 0.2500 0.2500 0.2500  4 Th 3.42, 4 Er 3.42

=====

A plane-wave DFT calculation with GGA-PBE was carried out for crystalline Mg3SnHg3 at its relaxed geometry.

## Properties
Its density is 8.0 g cm⁻³. The value obtained for the total energy is -21.4 eV per cell. As for the space group: Cmmm, No. 65. The formation energy is -0.147 eV/atom. For the density of states at the Fermi level, the calculation gives 0.228 states/eV per atom. The calculation puts the volume at 328.3 Å³ per cell. As for the total magnetic moment: 0.0 μB per cell.

Unit cell a=7.1525 b=7.1525 c=6.4174 alpha=90.00 beta=90.00 gamma=90.41
Closest atoms and distances in Å follow each position.
Positions (direct):
Hg 0.7420 0.7420 0.5000  6 Mg 2.98-3.06, 2 Sn 3.21, 2 Hg 3.25
Mg 0.0000 0.5000 0.7441  6 Hg 2.98-3.01, 2 Sn 3.03, 2 Mg 3.13-3.28
Mg 0.0000 0.0000 0.2483  6 Hg 3.06-3.35, 2 Sn 3.13, 2 Mg 3.19-3.23
Sn 0.7321 0.7321 0.0000  6 Mg 3.03-3.13, 4 Hg 3.21-3.30
Sn 0.2679 0.2679 0.0000  6 Mg 3.03-3.13, 4 Hg 3.21-3.30
Mg 0.0000 0.0000 0.7517  6 Hg 3.06-3.35, 2 Sn 3.13, 2 Mg 3.19-3.23
Hg 0.7295 0.2705 0.0000  6 Mg 3.01-3.17, 2 Hg 3.21, 2 Sn 3.30
Hg 0.7109 0.2891 0.5000  6 Mg 2.99-3.35, 4 Hg 3.21-3.25
Hg 0.2891 0.7109 0.5000  6 Mg 2.99-3.35, 4 Hg 3.21-3.25
Mg 0.5000 0.0000 0.2559  6 Hg 2.98-3.01, 2 Sn 3.03, 2 Mg 3.13-3.28
Mg 0.5000 0.0000 0.7441  6 Hg 2.98-3.01, 2 Sn 3.03, 2 Mg 3.13-3.28
Mg 0.0000 0.5000 0.2559  6 Hg 2.98-3.01, 2 Sn 3.03, 2 Mg 3.13-3.28
Hg 0.2705 0.7295 0.0000  6 Mg 3.01-3.17, 2 Hg 3.21, 2 Sn 3.30
Hg 0.2580 0.2580 0.5000  6 Mg 2.98-3.06, 2 Sn 3.21, 2 Hg 3.25